The following is a GGA-PBE calculation of a relaxed Nb2AgPdO6 crystal, from the Alexandria database.

Output
total moment	2.03	μB/cell
crystal system	monoclinic
uncorrected energy	-7.4436	eV/atom
formation energy (no corrections)	-1.6503	eV/atom

Unit cell a=7.8891 b=7.8891 c=6.3260 alpha=107.30 beta=107.30 gamma=75.17
Element x y z (fractional)
Nb 0.0859 0.3071 0.2018
Nb 0.3071 0.0859 0.7018
Nb 0.6929 0.9141 0.2982
Nb 0.9141 0.6929 0.7982
Ag 0.4173 0.5827 0.7500
Ag 0.5827 0.4173 0.2500
Pd 0.3017 0.6983 0.2500
Pd 0.6983 0.3017 0.7500
O 0.1580 0.1796 0.4431
O 0.1619 0.6322 0.8850
O 0.1711 0.5184 0.3089
O 0.1796 0.1580 0.9431
O 0.3678 0.8381 0.6150
O 0.4816 0.8289 0.1911
O 0.5184 0.1711 0.8089
O 0.6322 0.1619 0.3850
O 0.8204 0.8420 0.0569
O 0.8289 0.4816 0.6911
O 0.8381 0.3678 0.1150
O 0.8420 0.8204 0.5569

***

The following is a GGA-PBE calculation of a relaxed InHgSb2 crystal, from the Alexandria database.

Output
total moment	0.00	μB/cell
crystal system	monoclinic
uncorrected energy	-2.6944	eV/atom
formation energy (no corrections)	0.1268	eV/atom

Unit cell a=6.4295 b=10.5564 c=3.2803 alpha=90.00 beta=103.15 gamma=90.00
Element x y z (fractional)
In 0.0000 0.0000 0.0000
In 0.5000 0.5000 0.0000
Hg 0.0000 0.5000 0.0000
Hg 0.5000 0.0000 0.0000
Sb 0.2500 0.2500 0.5000
Sb 0.2500 0.7500 0.5000
Sb 0.7500 0.2500 0.5000
Sb 0.7500 0.7500 0.5000

***

The following is a GGA-PBE calculation of a relaxed Na2CaH6 crystal, from the Alexandria database.

Output
total moment	1.47	μB/cell
crystal system	cubic
uncorrected energy	-2.3355	eV/atom

Unit cell a=5.3344 b=5.3344 c=5.3344 alpha=60.00 beta=60.00 gamma=60.00
Element x y z (fractional)
Na 0.2500 0.2500 0.2500
Na 0.7500 0.7500 0.7500
Ca 0.0000 0.0000 0.0000
H 0.2954 0.2954 0.7046
H 0.2954 0.7046 0.2954
H 0.2954 0.7046 0.7046
H 0.7046 0.2954 0.2954
H 0.7046 0.2954 0.7046
H 0.7046 0.7046 0.2954

***

The following is a GGA-PBE calculation of a relaxed Ta2PbW crystal, from the Alexandria database.

Output
DFT formation energy	0.4435	eV/atom
total moment	0.00	μB/cell
crystal system	monoclinic
uncorrected energy	-9.6482	eV/atom

Unit cell a=2.9561 b=4.7431 c=5.5661 alpha=90.00 beta=99.45 gamma=90.00
Element x y z (fractional)
Ta 0.0000 0.0000 0.0000
Ta 0.2754 0.5000 0.7492
Pb 0.6084 0.0000 0.4897
W 0.7259 0.5000 0.2010

***

The following is a GGA-PBE calculation of a relaxed AlTlCd crystal, from the Alexandria database.

Output
DFT formation energy	0.1738	eV/atom
total moment	0.00	μB/cell
crystal system	trigonal
uncorrected energy	-2.1675	eV/atom

Unit cell a=4.7268 b=4.7268 c=7.8979 alpha=90.00 beta=90.00 gamma=120.00
Element x y z (fractional)
Al 0.3333 0.6667 0.4791
Al 0.6667 0.3333 0.5209
Tl 0.0000 0.0000 0.2684
Tl 0.0000 0.0000 0.7316
Cd 0.3333 0.6667 0.0733
Cd 0.6667 0.3333 0.9267

***

The following is a GGA-PBE calculation of a relaxed GaCu2GeRh crystal, from the Alexandria database.

Output
DFT formation energy	0.8690	eV/atom
total moment	0.00	μB/cell
crystal system	tetragonal
uncorrected energy	-3.7686	eV/atom

Unit cell a=4.3864 b=4.3864 c=4.7457 alpha=90.00 beta=90.00 gamma=90.00
Element x y z (fractional)
Ga 0.0000 0.0000 0.0000
Cu 0.0000 0.5000 0.0000
Cu 0.5000 0.0000 0.0000
Ge 0.0000 0.0000 0.5000
Rh 0.5000 0.5000 0.5000

***

The following is a GGA-PBE calculation of a relaxed CsTlAs crystal, from the Alexandria database.

Output
DFT formation energy	-0.3084	eV/atom
total moment	0.00	μB/cell
crystal system	triclinic
uncorrected energy	-2.9315	eV/atom

Unit cell a=4.6985 b=7.8440 c=7.8661 alpha=60.39 beta=74.37 gamma=74.00
Element x y z (fractional)
Cs 0.1883 0.3131 0.3087
Cs 0.8117 0.6869 0.6913
Tl 0.4951 0.7828 0.2208
Tl 0.5049 0.2172 0.7792
As 0.1344 0.9069 0.9033
As 0.8656 0.0931 0.0967

***

The following is a GGA-PBE calculation of a relaxed Mg2TeP crystal, from the Alexandria database.

Output
total moment	0.00	μB/cell
crystal system	orthorhombic
uncorrected energy	-3.0879	eV/atom
formation energy (no corrections)	-0.1527	eV/atom

Unit cell a=6.2721 b=7.3960 c=3.6977 alpha=90.00 beta=90.00 gamma=90.00
Element x y z (fractional)
Mg 0.2500 0.2500 0.0000
Mg 0.2500 0.7500 0.0000
Mg 0.7500 0.2500 0.0000
Mg 0.7500 0.7500 0.0000
Te 0.0000 0.0000 0.5000
Te 0.5000 0.5000 0.5000
P 0.0000 0.5000 0.5000
P 0.5000 0.0000 0.5000

***

The following is a GGA-PBE calculation of a relaxed Pr4HoZn5 crystal, from the Alexandria database.

Output
DFT formation energy	-0.3041	eV/atom
total moment	0.00	μB/cell
crystal system	tetragonal
uncorrected energy	-3.3106	eV/atom

Unit cell a=3.6740 b=3.6740 c=18.4907 alpha=90.00 beta=90.00 gamma=90.00
Element x y z (fractional)
Pr 0.0000 0.0000 0.1019
Pr 0.0000 0.0000 0.3054
Pr 0.0000 0.0000 0.6946
Pr 0.0000 0.0000 0.8981
Ho 0.0000 0.0000 0.5000
Zn 0.5000 0.5000 0.0000
Zn 0.5000 0.5000 0.2025
Zn 0.5000 0.5000 0.4110
Zn 0.5000 0.5000 0.5890
Zn 0.5000 0.5000 0.7975

***

The following is a GGA-PBE calculation of a relaxed Rb2CaRuBr6 crystal, from the Alexandria database.

Output
total moment	0.00	μB/cell
crystal system	cubic
uncorrected energy	-3.5798	eV/atom
formation energy (no corrections)	-1.2548	eV/atom

Unit cell a=7.6759 b=7.6759 c=7.6759 alpha=60.00 beta=60.00 gamma=60.00
Element x y z (fractional)
Rb 0.2500 0.2500 0.2500
Rb 0.7500 0.7500 0.7500
Ca 0.0000 0.0000 0.0000
Ru 0.5000 0.5000 0.5000
Br 0.2639 0.2639 0.7361
Br 0.2639 0.7361 0.2639
Br 0.2639 0.7361 0.7361
Br 0.7361 0.2639 0.2639
Br 0.7361 0.2639 0.7361
Br 0.7361 0.7361 0.2639

***

The following is a GGA-PBE calculation of a relaxed Pm12Ru2Pb5 crystal, from the Alexandria database.

Output
DFT formation energy	-0.2671	eV/atom
total moment	0.08	μB/cell
crystal system	monoclinic
uncorrected energy	-5.2197	eV/atom

Unit cell a=9.7136 b=9.7136 c=10.0332 alpha=104.91 beta=104.91 gamma=47.20
Element x y z (fractional)
Pm 0.0023 0.0023 0.3253
Pm 0.1034 0.5804 0.4201
Pm 0.1028 0.6020 0.9286
Pm 0.3980 0.8972 0.0714
Pm 0.4196 0.8966 0.5799
Pm 0.4971 0.4971 0.2675
Pm 0.5029 0.5029 0.7325
Pm 0.5804 0.1034 0.4201
Pm 0.6020 0.1028 0.9286
Pm 0.8972 0.3980 0.0714
Pm 0.8966 0.4196 0.5799
Pm 0.9977 0.9977 0.6747
Ru 0.2900 0.7100 0.5000
Ru 0.7100 0.2900 0.5000
Pb 0.0000 0.0000 0.0000
Pb 0.3006 0.3006 0.1405
Pb 0.3094 0.3094 0.6661
Pb 0.6906 0.6906 0.3339
Pb 0.6994 0.6994 0.8595

***

The following is a GGA-PBE calculation of a relaxed La2In5Ag4 crystal, from the Alexandria database.

Output
DFT formation energy	-0.2892	eV/atom
total moment	0.00	μB/cell
crystal system	orthorhombic
uncorrected energy	-3.4667	eV/atom

Unit cell a=7.3306 b=7.3306 c=7.3306 alpha=131.76 beta=100.72 gamma=98.51
Element x y z (fractional)
La 0.2170 0.2170 0.0000
La 0.7830 0.7830 0.0000
In 0.0000 0.5000 0.5000
In 0.3071 0.2519 0.5590
In 0.3071 0.7481 0.0552
In 0.6929 0.2519 0.9448
In 0.6929 0.7481 0.4410
Ag 0.0869 0.7480 0.3389
Ag 0.4090 0.7480 0.6611
Ag 0.5910 0.2520 0.3389
Ag 0.9131 0.2520 0.6611

***

The following is a GGA-PBE calculation of a relaxed TbPrLu crystal, from the Alexandria database.

Output
DFT formation energy	0.0314	eV/atom
total moment	0.00	μB/cell
crystal system	tetragonal
uncorrected energy	-4.6122	eV/atom

Unit cell a=3.5869 b=3.5869 c=15.1519 alpha=90.00 beta=90.00 gamma=90.00
Element x y z (fractional)
Tb 0.0000 0.0000 0.0000
Tb 0.5000 0.5000 0.5000
Pr 0.0000 0.0000 0.6711
Pr 0.5000 0.5000 0.1711
Lu 0.0000 0.0000 0.3386
Lu 0.5000 0.5000 0.8386

***

The following is a GGA-PBE calculation of a relaxed CeSi3Os crystal, from the Alexandria database.

Output
total moment	0.00	μB/cell
crystal system	tetragonal
uncorrected energy	-7.3424	eV/atom
formation energy (no corrections)	-0.6558	eV/atom

Unit cell a=4.2061 b=4.2061 c=9.9983 alpha=90.00 beta=90.00 gamma=90.00
Element x y z (fractional)
Ce 0.0000 0.0000 0.0000
Ce 0.5000 0.5000 0.5000
Si 0.0000 0.0000 0.4251
Si 0.0000 0.5000 0.2696
Si 0.0000 0.5000 0.7696
Si 0.5000 0.0000 0.2696
Si 0.5000 0.0000 0.7696
Si 0.5000 0.5000 0.9251
Os 0.0000 0.0000 0.6597
Os 0.5000 0.5000 0.1597

***

The following is a GGA-PBE calculation of a relaxed SmScAs2Rh5 crystal, from the Alexandria database.

Output
DFT formation energy	-0.6709	eV/atom
total moment	0.00	μB/cell
crystal system	tetragonal
uncorrected energy	-7.0162	eV/atom

Unit cell a=4.2299 b=4.2299 c=8.7292 alpha=90.00 beta=90.00 gamma=90.00
Element x y z (fractional)
Sm 0.0000 0.0000 0.0000
Sc 0.0000 0.0000 0.5000
As 0.5000 0.5000 0.3588
As 0.5000 0.5000 0.6412
Rh 0.0000 0.5000 0.2403
Rh 0.0000 0.5000 0.7597
Rh 0.5000 0.0000 0.2403
Rh 0.5000 0.0000 0.7597
Rh 0.5000 0.5000 0.0000

***

The following is a GGA-PBE calculation of a relaxed NaCaPuBr6 crystal, from the Alexandria database.

Output
total moment	10.00	μB/cell
crystal system	trigonal
uncorrected energy	-4.7672	eV/atom
formation energy (no corrections)	-1.6906	eV/atom

Unit cell a=7.4266 b=7.4266 c=13.2412 alpha=90.00 beta=90.00 gamma=120.00
Element x y z (fractional)
Na 0.0000 0.0000 0.0000
Na 0.0000 0.0000 0.5000
Ca 0.3333 0.6667 0.2500
Ca 0.6667 0.3333 0.7500
Pu 0.3333 0.6667 0.7500
Pu 0.6667 0.3333 0.2500
Br 0.0028 0.3501 0.6291
Br 0.0028 0.6527 0.8709
Br 0.3473 0.3501 0.8709
Br 0.3473 0.9972 0.6291
Br 0.3501 0.0028 0.1291
Br 0.3501 0.3473 0.3709
Br 0.6499 0.6527 0.6291
Br 0.6499 0.9972 0.8709
Br 0.6527 0.0028 0.3709
Br 0.6527 0.6499 0.1291
Br 0.9972 0.3473 0.1291
Br 0.9972 0.6499 0.3709

***

The following is a GGA-PBE calculation of a relaxed AgBr2Cl5 crystal, from the Alexandria database.

Output
total moment	0.00	μB/cell
crystal system	triclinic
uncorrected energy	-2.0227	eV/atom
formation energy (no corrections)	-0.0939	eV/atom

Unit cell a=5.4664 b=8.0200 c=8.1860 alpha=62.14 beta=81.87 gamma=70.08
Element x y z (fractional)
Ag 0.0000 0.0000 0.0000
Br 0.4646 0.4490 0.1881
Br 0.7027 0.0770 0.6975
Cl 0.0650 0.6506 0.2570
Cl 0.1450 0.9120 0.5687
Cl 0.3189 0.6926 0.8332
Cl 0.3201 0.2093 0.8094
Cl 0.8829 0.2395 0.1450

***

The following is a GGA-PBE calculation of a relaxed Dy3TlP crystal, from the Alexandria database.

Output
DFT formation energy	-0.8104	eV/atom
total moment	1.35	μB/cell
crystal system	orthorhombic
uncorrected energy	-5.1269	eV/atom

Unit cell a=8.9153 b=3.9948 c=15.1377 alpha=90.00 beta=90.00 gamma=90.00
Element x y z (fractional)
Dy 0.0272 0.2500 0.1083
Dy 0.1633 0.2500 0.5142
Dy 0.1948 0.7500 0.2893
Dy 0.3052 0.2500 0.7893
Dy 0.3367 0.7500 0.0142
Dy 0.4728 0.7500 0.6083
Dy 0.5272 0.2500 0.3917
Dy 0.6633 0.2500 0.9858
Dy 0.6948 0.7500 0.2107
Dy 0.8052 0.2500 0.7107
Dy 0.8367 0.7500 0.4858
Dy 0.9728 0.7500 0.8917
Tl 0.0882 0.7500 0.6768
Tl 0.4118 0.2500 0.1768
Tl 0.5882 0.7500 0.8232
Tl 0.9118 0.2500 0.3232
P 0.1647 0.2500 0.9453
P 0.3353 0.7500 0.4453
P 0.6647 0.2500 0.5547
P 0.8353 0.7500 0.0547

***

The following is a GGA-PBE calculation of a relaxed Ca2NdIrO6 crystal, from the Alexandria database.

Output
total moment	4.04	μB/cell
crystal system	monoclinic
uncorrected energy	-7.0111	eV/atom
formation energy (no corrections)	-2.2730	eV/atom

Unit cell a=5.6804 b=5.9210 c=9.8915 alpha=90.00 beta=124.10 gamma=90.00
Element x y z (fractional)
Ca 0.2322 0.0567 0.2515
Ca 0.2322 0.4433 0.7515
Ca 0.7678 0.5567 0.2485
Ca 0.7678 0.9433 0.7485
Nd 0.5000 0.0000 0.0000
Nd 0.5000 0.5000 0.5000
Ir 0.0000 0.0000 0.5000
Ir 0.0000 0.5000 0.0000
O 0.1018 0.2205 0.9301
O 0.1018 0.2795 0.4301
O 0.2233 0.6816 0.9407
O 0.2233 0.8184 0.4407
O 0.3464 0.0540 0.7258
O 0.3464 0.4460 0.2258
O 0.6536 0.5540 0.7742
O 0.6536 0.9460 0.2742
O 0.7767 0.1816 0.5593
O 0.7767 0.3184 0.0593
O 0.8982 0.7205 0.5699
O 0.8982 0.7795 0.0699

***

The following is a GGA-PBE calculation of a relaxed ZrTaAl2 crystal, from the Alexandria database.

Output
DFT formation energy	-0.2583	eV/atom
total moment	0.00	μB/cell
crystal system	tetragonal
uncorrected energy	-7.2298	eV/atom

Unit cell a=3.9933 b=3.9933 c=9.1426 alpha=90.00 beta=90.00 gamma=90.00
Element x y z (fractional)
Zr 0.0000 0.0000 0.0000
Zr 0.5000 0.5000 0.5000
Ta 0.0000 0.5000 0.2500
Ta 0.5000 0.0000 0.7500
Al 0.0000 0.0000 0.5000
Al 0.0000 0.5000 0.7500
Al 0.5000 0.0000 0.2500
Al 0.5000 0.5000 0.0000